Crystalline DyEr2Al2Zn3Cd at its relaxed geometry, computed with PBE.

Summary:
Its space group is Amm2, No. 38. The uncorrected energy is -29.33 eV per formula unit.

a = 4.4615 Å, b = 6.9787 Å, c = 6.9787 Å
α = 120.23°, β = 90.00°, γ = 90.00°
With the nearest neighbours (Å) after each atom.
Fractional positions:
Dy 0.0000 0.0000 0.0000  1 Cd 3.03, 4 Al 3.05, 2 Zn 3.15
Er 0.0000 0.4326 0.8672  1 Cd 3.02, 4 Al 3.03-3.04, 2 Zn 3.15
Er 0.0000 0.8672 0.4326  1 Cd 3.02, 4 Al 3.03-3.04, 2 Zn 3.15
Al 0.5000 0.1002 0.7657  3 Zn 2.67-2.68
Al 0.5000 0.7657 0.1002  3 Zn 2.67-2.68
Zn 0.5000 0.1864 0.4336  2 Al 2.67-2.68, 2 Cd 2.83, 2 Zn 2.98-2.99
Zn 0.5000 0.4336 0.1864  2 Al 2.67-2.68, 2 Cd 2.83, 2 Zn 2.98-2.99
Zn 0.5000 0.6808 0.6808  2 Al 2.68, 2 Cd 2.81, 2 Zn 2.98
Cd 0.0000 0.4361 0.4361  6 Zn 2.81-2.83, 2 Er 3.02, 1 Dy 3.03

---

Crystalline Sm2Ni2Br at its relaxed geometry, computed with PBE.

Summary:
Its space group is P-6m2, No. 187. The uncorrected energy is -26.21 eV per formula unit.

a = 4.0102 Å, b = 4.0102 Å, c = 8.3176 Å
α = 90.00°, β = 90.00°, γ = 120.00°
With the nearest neighbours (Å) after each atom.
Fractional positions:
Sm 0.0000 0.0000 0.2186  6 Ni 2.94, 3 Br 3.29
Sm 0.0000 0.0000 0.7814  6 Ni 2.94, 3 Br 3.29
Ni 0.3333 0.6667 0.0000  3 Ni 2.32
Ni 0.6667 0.3333 0.0000  3 Ni 2.32
Br 0.6667 0.3333 0.5000  6 Sm 3.29

---

Crystalline ScNbGa2 at its relaxed geometry, computed with PBE.

Summary:
Its space group is F-43m, No. 216. The uncorrected energy is -21.90 eV per formula unit.

a = 6.5946 Å, b = 6.5946 Å, c = 6.5946 Å
α = 90.00°, β = 90.00°, γ = 90.00°
With the nearest neighbours (Å) after each atom.
Fractional positions:
Sc 0.0000 0.0000 0.0000  4 Ga 2.86, 4 Nb 2.86
Sc 0.0000 0.5000 0.5000  4 Ga 2.86, 4 Nb 2.86
Sc 0.5000 0.0000 0.5000  4 Ga 2.86, 4 Nb 2.86
Sc 0.5000 0.5000 0.0000  4 Ga 2.86, 4 Nb 2.86
Nb 0.2500 0.2500 0.2500  4 Sc 2.86, 4 Ga 2.86
Nb 0.2500 0.7500 0.7500  4 Sc 2.86, 4 Ga 2.86
Nb 0.7500 0.2500 0.7500  4 Sc 2.86, 4 Ga 2.86
Nb 0.7500 0.7500 0.2500  4 Sc 2.86, 4 Ga 2.86
Ga 0.0000 0.0000 0.5000  4 Nb 2.86, 4 Ga 2.86
Ga 0.0000 0.5000 0.0000  4 Nb 2.86, 4 Ga 2.86
Ga 0.2500 0.2500 0.7500  4 Sc 2.86, 4 Ga 2.86
Ga 0.2500 0.7500 0.2500  4 Sc 2.86, 4 Ga 2.86
Ga 0.5000 0.0000 0.0000  4 Nb 2.86, 4 Ga 2.86
Ga 0.5000 0.5000 0.5000  4 Nb 2.86, 4 Ga 2.86
Ga 0.7500 0.2500 0.2500  4 Sc 2.86, 4 Ga 2.86
Ga 0.7500 0.7500 0.7500  4 Sc 2.86, 4 Ga 2.86